Here is a relaxed Ba2TiTl2 crystal from Alexandria. Energies are from PBE-GGA.

```
Ba2TiTl2
1.0
8.003 0.000 0.000
0.000 8.003 0.000
0.000 0.000 5.618
Ba Ti Tl
4 2 4
direct
0.166 0.334 0.000 Ba
0.334 0.834 0.000 Ba
0.666 0.166 0.000 Ba
0.834 0.666 0.000 Ba
0.000 0.000 0.500 Ti
0.500 0.500 0.500 Ti
0.150 0.650 0.500 Tl
0.350 0.150 0.500 Tl
0.650 0.850 0.500 Tl
0.850 0.350 0.500 Tl
```

Computed properties:
The energy of formation from the pure elements is 0.086 eV/atom. The crystal system is tetragonal. The calculation puts the total energy at -3.2082 eV per atom. The calculation puts the density of states at the Fermi level at 3.4 states/eV/f.u. The value obtained for the mass density is 6.75 g cm⁻³.

Here is a relaxed CeDyPtPb crystal from Alexandria. Energies are from PBE-GGA.

```
CeDyPtPb
1.0
7.442 0.000 0.000
0.000 7.442 0.000
0.000 0.000 7.442
Ce Dy Pt Pb
4 4 4 4
direct
0.000 0.000 0.000 Ce
0.000 0.500 0.500 Ce
0.500 0.000 0.500 Ce
0.500 0.500 0.000 Ce
0.000 0.000 0.500 Dy
0.000 0.500 0.000 Dy
0.500 0.000 0.000 Dy
0.500 0.500 0.500 Dy
0.250 0.250 0.750 Pt
0.250 0.750 0.250 Pt
0.750 0.250 0.250 Pt
0.750 0.750 0.750 Pt
0.250 0.250 0.250 Pb
0.250 0.750 0.750 Pb
0.750 0.250 0.750 Pb
0.750 0.750 0.250 Pb
```

Computed properties:
The energy of formation from the pure elements is -0.621 eV/atom. The crystal system is cubic. The calculation puts the total energy at -5.6921 eV per atom. The calculation puts the density of states at the Fermi level at 8.2 states/eV/f.u. The value obtained for the mass density is 11.36 g cm⁻³.

Here is a relaxed InMo2Cl crystal from Alexandria. Energies are from PBE-GGA.

```
InMo2Cl
1.0
2.888 0.000 0.000
0.000 5.390 0.000
0.000 0.000 9.203
In Mo Cl
2 4 2
direct
0.000 0.000 0.000 In
0.500 0.500 0.000 In
0.000 0.500 0.267 Mo
0.000 0.500 0.733 Mo
0.500 0.000 0.267 Mo
0.500 0.000 0.733 Mo
0.000 0.000 0.500 Cl
0.500 0.500 0.500 Cl
```

Computed properties:
The crystal system is orthorhombic. The calculation puts the total energy at -5.9542 eV per atom. The calculation puts the density of states at the Fermi level at 4.4 states/eV/f.u. The energy above the most stable polymorph in this dataset is 0.486 eV/atom. The value obtained for the mass density is 7.93 g cm⁻³.

Here is a relaxed K2FeNi crystal from Alexandria. Energies are from PBE-GGA.

```
K2FeNi
1.0
5.735 0.000 0.000
0.000 10.211 0.000
-0.010 0.000 3.422
K Fe Ni
4 2 2
direct
0.250 0.250 0.000 K
0.250 0.750 0.000 K
0.750 0.250 0.000 K
0.750 0.750 0.000 K
0.000 0.000 0.500 Fe
0.500 0.500 0.500 Fe
0.000 0.500 0.500 Ni
0.500 0.000 0.500 Ni
```

Computed properties:
The energy of formation from the pure elements is 1.170 eV/atom. The crystal system is monoclinic. The calculation puts the total energy at -2.9400 eV per atom. The calculation puts the density of states at the Fermi level at 3.9 states/eV/f.u. The energy above the most stable polymorph in this dataset is 0.597 eV/atom. The value obtained for the mass density is 3.19 g cm⁻³.

Here is a relaxed TbMg2Ag crystal from Alexandria. Energies are from PBE-GGA.

```
TbMg2Ag
1.0
7.080 0.000 0.000
0.000 7.080 0.000
0.000 0.000 7.080
Tb Mg Ag
4 8 4
direct
0.000 0.000 0.000 Tb
0.000 0.500 0.500 Tb
0.500 0.000 0.500 Tb
0.500 0.500 0.000 Tb
0.250 0.250 0.250 Mg
0.250 0.250 0.750 Mg
0.250 0.750 0.250 Mg
0.250 0.750 0.750 Mg
0.750 0.250 0.250 Mg
0.750 0.250 0.750 Mg
0.750 0.750 0.250 Mg
0.750 0.750 0.750 Mg
0.000 0.000 0.500 Ag
0.000 0.500 0.000 Ag
0.500 0.000 0.000 Ag
0.500 0.500 0.500 Ag
```

Computed properties:
The energy of formation from the pure elements is -0.086 eV/atom. The crystal system is cubic. The calculation puts the total energy at -2.7536 eV per atom. The calculation puts the density of states at the Fermi level at 2.2 states/eV/f.u. The value obtained for the mass density is 5.90 g cm⁻³.

Here is a relaxed Mg2ZnIn2 crystal from Alexandria. Energies are from PBE-GGA.

```
Mg2ZnIn2
1.0
2.400 -7.911 0.000
2.400 7.911 0.000
0.000 0.000 5.956
Mg Zn In
4 2 4
direct
0.022 0.978 0.500 Mg
0.219 0.781 0.375 Mg
0.781 0.219 0.875 Mg
0.978 0.022 0.000 Mg
0.406 0.594 0.197 Zn
0.594 0.406 0.697 Zn
0.167 0.833 0.873 In
0.402 0.598 0.708 In
0.598 0.402 0.208 In
0.833 0.167 0.373 In
```

Computed properties:
The energy of formation from the pure elements is -0.005 eV/atom. The crystal system is orthorhombic. The calculation puts the total energy at -1.9929 eV per atom. The calculation puts the density of states at the Fermi level at 1.5 states/eV/f.u. The energy above the most stable polymorph in this dataset is 0.032 eV/atom. The value obtained for the mass density is 5.05 g cm⁻³.

Here is a relaxed Tm12Ir3O5 crystal from Alexandria. Energies are from PBE-GGA.

```
Tm12Ir3O5
1.0
-7.449 7.449 7.449
7.449 -7.449 7.449
7.449 7.449 -7.449
Tm Ir O
48 12 20
direct
0.024 0.209 0.120 Tm
0.024 0.316 0.904 Tm
0.089 0.709 0.684 Tm
0.089 0.880 0.404 Tm
0.096 0.620 0.411 Tm
0.096 0.976 0.684 Tm
0.120 0.024 0.209 Tm
0.120 0.596 0.911 Tm
0.184 0.209 0.589 Tm
0.184 0.476 0.596 Tm
0.209 0.120 0.024 Tm
0.209 0.589 0.184 Tm
0.291 0.316 0.911 Tm
0.291 0.476 0.380 Tm
0.316 0.904 0.024 Tm
0.316 0.911 0.291 Tm
0.380 0.291 0.476 Tm
0.380 0.589 0.904 Tm
0.404 0.089 0.880 Tm
0.404 0.816 0.524 Tm
0.411 0.096 0.620 Tm
0.411 0.816 0.791 Tm
0.476 0.380 0.291 Tm
0.476 0.596 0.184 Tm
0.524 0.404 0.816 Tm
0.524 0.620 0.709 Tm
0.589 0.184 0.209 Tm
0.589 0.904 0.380 Tm
0.596 0.184 0.476 Tm
0.596 0.911 0.120 Tm
0.620 0.411 0.096 Tm
0.620 0.709 0.524 Tm
0.684 0.089 0.709 Tm
0.684 0.096 0.976 Tm
0.709 0.524 0.620 Tm
0.709 0.684 0.089 Tm
0.791 0.411 0.816 Tm
0.791 0.880 0.976 Tm
0.816 0.524 0.404 Tm
0.816 0.791 0.411 Tm
0.880 0.404 0.089 Tm
0.880 0.976 0.791 Tm
0.904 0.024 0.316 Tm
0.904 0.380 0.589 Tm
0.911 0.120 0.596 Tm
0.911 0.291 0.316 Tm
0.976 0.684 0.096 Tm
0.976 0.791 0.880 Tm
0.125 0.250 0.375 Ir
0.125 0.375 0.750 Ir
0.250 0.375 0.125 Ir
0.250 0.875 0.625 Ir
0.375 0.125 0.250 Ir
0.375 0.750 0.125 Ir
0.625 0.250 0.875 Ir
0.625 0.875 0.750 Ir
0.750 0.125 0.375 Ir
0.750 0.625 0.875 Ir
0.875 0.625 0.250 Ir
0.875 0.750 0.625 Ir
0.000 0.000 0.000 O
0.000 0.000 0.500 O
0.000 0.500 0.000 O
0.000 0.500 0.500 O
0.125 0.750 0.875 O
0.125 0.875 0.250 O
0.250 0.125 0.875 O
0.250 0.625 0.375 O
0.375 0.250 0.625 O
0.375 0.625 0.750 O
0.500 0.000 0.000 O
0.500 0.000 0.500 O
0.500 0.500 0.000 O
0.500 0.500 0.500 O
0.625 0.375 0.250 O
0.625 0.750 0.375 O
0.750 0.375 0.625 O
0.750 0.875 0.125 O
0.875 0.125 0.750 O
0.875 0.250 0.125 O
```

Computed properties:
The crystal system is cubic. The calculation puts the total energy at -7.0109 eV per atom. The calculation puts the density of states at the Fermi level at 10.9 states/eV/f.u. The value obtained for the mass density is 10.78 g cm⁻³.

Here is a relaxed Tm8Bi3Te4Pb crystal from Alexandria. Energies are from PBE-GGA.

```
Tm8Bi3Te4Pb
1.0
4.385 2.532 7.105
-4.385 2.532 7.105
0.000 -5.063 7.105
Tm Bi Te Pb
8 3 4 1
direct
0.249 0.249 0.249 Tm
0.254 0.745 0.745 Tm
0.255 0.255 0.746 Tm
0.255 0.746 0.255 Tm
0.745 0.254 0.745 Tm
0.745 0.745 0.254 Tm
0.746 0.255 0.255 Tm
0.751 0.751 0.751 Tm
0.000 0.000 0.500 Bi
0.000 0.500 0.000 Bi
0.500 0.000 0.000 Bi
0.000 0.000 0.000 Te
0.000 0.500 0.500 Te
0.500 0.000 0.500 Te
0.500 0.500 0.000 Te
0.500 0.500 0.500 Pb
```

Computed properties:
The crystal system is trigonal. The calculation puts the total energy at -4.9484 eV per atom. The calculation puts the density of states at the Fermi level at 6.8 states/eV/f.u. The value obtained for the mass density is 9.46 g cm⁻³.

Here is a relaxed Ca2HoTe4Pb crystal from Alexandria. Energies are from PBE-GGA.

```
Ca2HoTe4Pb
1.0
7.785 0.000 0.000
0.000 4.476 0.000
-2.597 0.000 7.410
Ca Ho Te Pb
2 1 4 1
direct
0.000 0.000 0.000 Ca
0.000 0.500 0.500 Ca
0.500 0.000 0.500 Ho
0.249 0.000 0.740 Te
0.255 0.500 0.259 Te
0.745 0.500 0.741 Te
0.751 0.000 0.260 Te
0.500 0.500 0.000 Pb
```

Computed properties:
The crystal system is monoclinic. The calculation puts the total energy at -4.2926 eV per atom. The calculation puts the density of states at the Fermi level at 3.1 states/eV/f.u. The value obtained for the mass density is 6.19 g cm⁻³.

Here is a relaxed Th2UTl crystal from Alexandria. Energies are from PBE-GGA.

```
Th2UTl
1.0
4.994 0.000 0.000
0.000 4.994 0.000
0.000 0.000 4.560
Th U Tl
2 1 1
direct
0.000 0.500 0.000 Th
0.500 0.000 0.000 Th
0.000 0.000 0.500 U
0.500 0.500 0.500 Tl
```

Computed properties:
The energy of formation from the pure elements is 0.205 eV/atom. The crystal system is tetragonal. The calculation puts the total energy at -6.9189 eV per atom. The calculation puts the density of states at the Fermi level at 9.6 states/eV/f.u. The energy above the most stable polymorph in this dataset is 0.000 eV/atom. The value obtained for the mass density is 13.23 g cm⁻³.